Record 1
{"formula": "Li2Os", "functional": "PBE", "state": "relaxed", "magnetic_moment_mub_per_atom": 0.67, "cell": [[4.094, 2.364, 6.686], [-4.094, 2.364, 6.686], [0.000, -4.728, 6.686]], "species": ["Li", "Li", "Li", "Li", "Os", "Os"], "frac_coords": [[0.875, 0.375, 0.375], [0.375, 0.875, 0.375], [0.375, 0.375, 0.375], [0.375, 0.375, 0.875], [0.250, 0.250, 0.250], [0.500, 0.500, 0.500]]}

=====

Record 2
{"formula": "GdTc2Pb2", "functional": "PBE", "state": "relaxed", "magnetic_moment_mub_per_atom": 0.56, "cell": [[-2.170, 2.170, 6.118], [2.170, -2.170, 6.118], [2.170, 2.170, -6.118]], "species": ["Gd", "Pb", "Pb", "Tc", "Tc"], "frac_coords": [[0.000, 0.000, 0.000], [0.383, 0.383, 0.000], [0.617, 0.617, 0.000], [0.750, 0.250, 0.500], [0.250, 0.750, 0.500]]}

=====

Record 3
{"formula": "ScCoSi", "functional": "PBE", "state": "relaxed", "magnetic_moment_mub_per_atom": 0.12, "cell": [[0.000, 2.887, 2.887], [2.887, 0.000, 2.887], [2.887, 2.887, 0.000]], "species": ["Co", "Sc", "Si"], "frac_coords": [[0.000, 0.000, 0.000], [0.250, 0.250, 0.250], [0.750, 0.750, 0.750]]}

=====

Record 4
{"formula": "NaYFeTe", "functional": "PBE", "state": "relaxed", "magnetic_moment_mub_per_atom": 0.01, "polymorph_energy_mev_per_atom": 73, "cell": [[0.000, 3.347, 3.347], [3.347, 0.000, 3.347], [3.347, 3.347, 0.000]], "species": ["Fe", "Na", "Te", "Y"], "frac_coords": [[0.250, 0.250, 0.250], [0.750, 0.750, 0.750], [0.500, 0.500, 0.500], [0.000, 0.000, 0.000]]}

=====

Record 5
{"formula": "LiTbTeO", "functional": "PBE", "state": "relaxed", "magnetic_moment_mub_per_atom": 0.00, "polymorph_energy_mev_per_atom": 111, "cell": [[-3.000, -6.132, 0.922], [3.667, -0.815, 6.509], [-4.193, 3.954, 2.857]], "species": ["Li", "Li", "Li", "Li", "O", "O", "O", "O", "Tb", "Tb", "Tb", "Tb", "Te", "Te", "Te", "Te"], "frac_coords": [[0.853, 0.280, 0.040], [0.147, 0.780, 0.460], [0.853, 0.220, 0.540], [0.147, 0.720, 0.960], [0.589, 0.338, 0.104], [0.411, 0.838, 0.396], [0.589, 0.162, 0.604], [0.411, 0.662, 0.896], [0.559, 0.619, 0.230], [0.441, 0.119, 0.270], [0.559, 0.881, 0.730], [0.441, 0.381, 0.770], [0.833, 0.938, 0.193], [0.167, 0.438, 0.307], [0.833, 0.562, 0.693], [0.167, 0.062, 0.807]]}

=====

Record 6
{"formula": "Ge2Pd3Se2", "functional": "PBE", "state": "relaxed", "cell": [[-0.135, 5.440, 1.621], [-0.123, 1.220, 5.544], [4.607, 2.267, 2.424]], "species": ["Ge", "Ge", "Pd", "Pd", "Pd", "Se", "Se"], "frac_coords": [[0.000, 0.000, 0.000], [0.500, 0.500, 0.500], [0.500, 0.500, 0.000], [0.500, 0.000, 0.500], [0.000, 0.500, 0.500], [0.200, 0.200, 0.200], [0.800, 0.800, 0.800]]}

=====

Record 7
{"formula": "Y2TaPb", "functional": "PBE", "state": "relaxed", "magnetic_moment_mub_per_atom": 0.25, "cell": [[0.000, 3.665, 3.665], [3.665, 0.000, 3.665], [3.665, 3.665, 0.000]], "species": ["Pb", "Ta", "Y", "Y"], "frac_coords": [[0.500, 0.500, 0.500], [0.250, 0.250, 0.250], [0.000, 0.000, 0.000], [0.750, 0.750, 0.750]]}

=====

Record 8
{"formula": "FeGeTe2", "functional": "PBE", "state": "relaxed", "magnetic_moment_mub_per_atom": 0.68, "cell": [[-3.328, -0.811, 3.673], [-4.004, -2.913, -0.838], [-0.308, -4.526, 2.156]], "species": ["Fe", "Ge", "Te", "Te"], "frac_coords": [[0.250, 0.250, 0.250], [0.500, 0.500, 0.500], [0.000, 0.000, 0.000], [0.750, 0.750, 0.750]]}

=====

Record 9
{"formula": "AgPdSO", "functional": "PBE", "state": "relaxed", "polymorph_energy_mev_per_atom": 349, "cell": [[-4.291, 0.674, 4.804], [-6.128, -0.477, 2.040], [0.894, -5.044, 1.506]], "species": ["Ag", "Ag", "O", "O", "Pd", "Pd", "S", "S"], "frac_coords": [[0.572, 0.572, 0.250], [0.428, 0.428, 0.750], [0.000, 0.000, 0.000], [0.000, 0.000, 0.500], [0.856, 0.856, 0.250], [0.144, 0.144, 0.750], [0.223, 0.223, 0.250], [0.777, 0.777, 0.750]]}

=====

Record 10
{"formula": "BaErZr", "functional": "PBE", "state": "relaxed", "magnetic_moment_mub_per_atom": 0.93, "polymorph_energy_mev_per_atom": 0, "cell": [[0.000, 3.903, 3.903], [3.903, 0.000, 3.903], [3.903, 3.903, 0.000]], "species": ["Ba", "Er", "Zr"], "frac_coords": [[0.250, 0.250, 0.250], [0.750, 0.750, 0.750], [0.000, 0.000, 0.000]]}

=====

Record 11
{"formula": "HfInTe4Au3", "functional": "PBE", "state": "relaxed", "magnetic_moment_mub_per_atom": 0.00, "polymorph_energy_mev_per_atom": 0, "cell": [[-1.447, 5.775, -3.102], [-3.393, 2.058, 5.415], [5.609, 2.735, 2.476]], "species": ["Au", "Au", "Au", "Hf", "In", "Te", "Te", "Te", "Te"], "frac_coords": [[0.500, 0.500, 0.000], [0.500, 0.000, 0.500], [0.000, 0.500, 0.500], [0.500, 0.500, 0.500], [0.000, 0.000, 0.000], [0.265, 0.265, 0.265], [0.735, 0.735, 0.265], [0.735, 0.265, 0.735], [0.265, 0.735, 0.735]]}

=====

Record 12
{"formula": "CoRe2Ni", "functional": "PBE", "state": "relaxed", "formation_energy_mev_per_atom": 178, "magnetic_moment_mub_per_atom": 0.29, "polymorph_energy_mev_per_atom": 211, "cell": [[-3.598, -0.257, 2.131], [-3.619, -0.500, -2.051], [-2.047, -3.649, 0.222]], "species": ["Co", "Ni", "Re", "Re"], "frac_coords": [[0.750, 0.750, 0.750], [0.500, 0.500, 0.500], [0.000, 0.000, 0.000], [0.250, 0.250, 0.250]]}

=====

Computed final energy, in the same sequence as the records: -17.20 -30.71 -20.22 -18.97 -92.02 -33.37 -27.25 -16.52 -32.82 -11.95 -37.43 -36.81 eV per cell.